Density functional theory data (PBE) for crystalline LuNbAs2 at its relaxed geometry.

Values from the calculation:
The formation energy comes out at -0.873 eV/atom. The value obtained for the magnetic moment is 0.0 Bohr magnetons per cell.

Cell lengths 3.8233, 3.8233, 6.7909 Å; angles 73.65, 73.65, 60.00 degrees
Fractional coordinates of all 4 atoms:
As1 0.2551 0.2551 0.2346
Nb1 0.0000 0.0000 0.0000
As2 0.7449 0.7449 0.7654
Lu1 0.5000 0.5000 0.5000